(1)
A plane-wave DFT calculation with PBE-GGA was carried out for a relaxed structure of Tl3PtI.

Output
* DOS at the Fermi energy: 0.512 states/eV/f.u.
* energy relative to the elements, uncorrected: 0.005 eV per atom
* excess energy over the best structure of this formula in the dataset: 0.348 eV/atom
* symmetry: P4mm (99)
* final energy: -2.933 eV per atom

Cell lengths 4.8086, 4.8086, 8.4659 Å; angles 90.00, 90.00, 90.00 degrees
With the nearest neighbours (Å) after each atom.
Positions (direct):
Tl 0.0000 0.0000 0.0000  1 I 3.16
Tl 0.0000 0.5000 0.6750  2 Pt 2.84
Tl 0.5000 0.0000 0.6750  2 Pt 2.84
Pt 0.5000 0.5000 0.8539  4 Tl 2.84
I 0.0000 0.0000 0.3737  5 Tl 3.16-3.51

=====

(2)
A plane-wave DFT calculation with PBE-GGA was carried out for a relaxed structure of Tl4PtI5.

Output
* DOS at the Fermi energy: 3.799 states/eV/f.u.
* energy relative to the elements, uncorrected: -0.367 eV per atom
* symmetry: I4 (79)
* final energy: -2.693 eV per atom

Cell lengths 8.2813, 8.2813, 8.2813 Å; angles 100.80, 100.80, 128.70 degrees
With the nearest neighbours (Å) after each atom.
Positions (direct):
Tl 0.0790 0.3032 0.3822  5 I 3.31-3.65
Tl 0.3032 0.9210 0.2242  5 I 3.31-3.65
Tl 0.6968 0.0790 0.7758  5 I 3.31-3.65
Tl 0.9210 0.6968 0.6178  5 I 3.31-3.65
Pt 0.4991 0.4991 0.0000  4 I 2.74
I 0.2577 0.5938 0.8536  1 Pt 2.74
I 0.4042 0.2577 0.6639  1 Pt 2.74
I 0.5938 0.7402 0.3361  1 Pt 2.74
I 0.7402 0.4042 0.1464  1 Pt 2.74
I 0.9982 0.9982 0.0000  4 Tl 3.31, 2 Pt 3.58-3.59

=====

(3)
A plane-wave DFT calculation with PBE-GGA was carried out for a relaxed structure of Tl3PtI.

Output
* DOS at the Fermi energy: 0.665 states/eV/f.u.
* energy relative to the elements, uncorrected: -0.206 eV per atom
* excess energy over the best structure of this formula in the dataset: 0.137 eV/atom
* symmetry: P2_1/c (14)
* final energy: -3.144 eV per atom

Cell lengths 9.8733, 7.0184, 10.7675 Å; angles 90.00, 122.15, 90.00 degrees
With the nearest neighbours (Å) after each atom.
Positions (direct):
Tl 0.0291 0.1506 0.3039  3 Pt 2.81-2.90
Tl 0.0291 0.3494 0.8039  3 Pt 2.81-2.90
Tl 0.2035 0.5327 0.5930  2 Pt 2.93
Tl 0.2035 0.9673 0.0930  2 Pt 2.93
Tl 0.3660 0.0572 0.7065  1 Pt 2.87
Tl 0.3660 0.4428 0.2065  1 Pt 2.87
Tl 0.6340 0.5572 0.7935  1 Pt 2.87
Tl 0.6340 0.9428 0.2935  1 Pt 2.87
Tl 0.7965 0.0327 0.9070  2 Pt 2.93
Tl 0.7965 0.4673 0.4070  2 Pt 2.93
Tl 0.9709 0.6506 0.1961  3 Pt 2.81-2.90
Tl 0.9709 0.8494 0.6961  3 Pt 2.81-2.90
Pt 0.0393 0.1765 0.5741  6 Tl 2.81-2.93, 1 Pt 2.82
Pt 0.0393 0.3235 0.0741  6 Tl 2.81-2.93, 1 Pt 2.82
Pt 0.9607 0.6765 0.9259  6 Tl 2.81-2.93, 1 Pt 2.82
Pt 0.9607 0.8235 0.4259  6 Tl 2.81-2.93, 1 Pt 2.82
I 0.3768 0.7287 0.9335  6 Tl 3.32-3.64
I 0.3768 0.7713 0.4335  6 Tl 3.32-3.64
I 0.6232 0.2287 0.5665  6 Tl 3.32-3.64
I 0.6232 0.2713 0.0665  6 Tl 3.32-3.64

=====

In order of appearance, V = 39.15, 39.95, 31.58 Å³/atom.